No. 1
Hf2RuSe | GGA-PBE | relaxed

Results
- Symmetry: No. 166
- Formation energy without anion corrections: -0.57 kJ per mole of atoms

The structure in extended XYZ format:
```
4
Lattice="-2.243 -1.785 1.412 -0.895 -2.773 -1.312 5.290 -5.778 4.715" Properties=species:S:1:pos:R:3 pbc="T T T"
Ru 0.000 0.000 0.000
Hf 3.563 -4.617 3.439
Hf -1.410 -5.719 1.376
Se 1.077 -5.168 2.408
```

No. 2
DyPuMnAl | GGA-PBE | relaxed

Results
- Formation enthalpy at 0 K: 0.1684 eV per atom
- Symmetry: No. 216

The structure in extended XYZ format:
```
4
Lattice="5.046 0.000 0.000 2.523 4.370 0.000 2.523 1.457 4.120" Properties=species:S:1:pos:R:3 pbc="T T T"
Dy 7.570 4.370 3.090
Al 0.000 0.000 0.000
Mn 5.046 2.914 2.060
Pu 2.523 1.457 1.030
```

No. 3
Mg6Al2Tl | GGA-PBE | relaxed

Results
- Formation enthalpy at 0 K: -0.0019 eV per atom
- Symmetry: No. 12

The structure in extended XYZ format:
```
9
Lattice="4.361 0.000 0.000 -2.181 4.764 -1.561 0.000 -0.182 9.391" Properties=species:S:1:pos:R:3 pbc="T T T"
Mg 0.000 -0.037 7.897
Mg 0.000 2.984 1.434
Mg 2.181 1.598 6.396
Mg 0.000 3.096 4.746
Mg 2.181 1.485 3.085
Mg 2.181 4.619 -0.066
Al 0.000 3.088 7.831
Al 2.181 1.494 0.000
Tl 0.000 -0.091 4.696
```

No. 4
YPtAuSe2 | GGA-PBE | relaxed

Results
- Symmetry: No. 123
- Formation energy without anion corrections: 41.21 kJ per mole of atoms

The structure in extended XYZ format:
```
5
Lattice="4.939 0.000 0.000 0.000 5.541 0.000 0.000 0.000 4.939" Properties=species:S:1:pos:R:3 pbc="T T T"
Y 0.000 2.771 0.000
Au 0.000 0.000 0.000
Se 0.000 0.000 2.469
Se 2.469 0.000 0.000
Pt 2.469 2.771 2.469
```